(1)
First-principles (PBE-GGA) data for a relaxed structure of Y2HgBi, as listed in the Alexandria database.

Its formation enthalpy at 0 K is -0.556 eV/atom. The value obtained for the energy above the lowest structure with this stoichiometry is 86 meV per atom. The value obtained for the uncorrected energy is -19.34 eV/cell. Its space-group type is No. 166.

Cell and atoms, written as CIF:
```
data_Y2HgBi
_symmetry_space_group_name_H-M 'P 1'
_symmetry_Int_Tables_number 1
_cell_length_a 7.9490
_cell_length_b 7.9490
_cell_length_c 7.9490
_cell_angle_alpha 31.53
_cell_angle_beta 31.53
_cell_angle_gamma 31.53
loop_
_symmetry_equiv_pos_as_xyz
'x,y,z'
loop_
_atom_site_label
_atom_site_fract_x
_atom_site_fract_y
_atom_site_fract_z
Y1 0.2493 0.2493 0.2493
Y2 0.7507 0.7507 0.7507
Hg1 0.0000 0.0000 0.0000
Bi1 0.5000 0.5000 0.5000
```



(2)
First-principles (PBE-GGA) data for a relaxed structure of CrFeAg2, as listed in the Alexandria database.

Its formation enthalpy at 0 K is 0.552 eV/atom. The value obtained for the energy above the lowest structure with this stoichiometry is 225 meV per atom. The value obtained for the uncorrected energy is -21.58 eV/cell. Its space-group type is No. 123.

Cell and atoms, written as CIF:
```
data_CrFeAg2
_symmetry_space_group_name_H-M 'P 1'
_symmetry_Int_Tables_number 1
_cell_length_a 2.8409
_cell_length_b 2.8409
_cell_length_c 7.9637
_cell_angle_alpha 90.00
_cell_angle_beta 90.00
_cell_angle_gamma 90.00
loop_
_symmetry_equiv_pos_as_xyz
'x,y,z'
loop_
_atom_site_label
_atom_site_fract_x
_atom_site_fract_y
_atom_site_fract_z
Cr1 0.0000 0.0000 0.0000
Fe1 0.0000 0.0000 0.5000
Ag1 0.5000 0.5000 0.2578
Ag2 0.5000 0.5000 0.7422
```